# 1
An optimized crystal structure of ZnFeP2. Source: Alexandria, functional PBE.

Output
- size of the total moment (μB/f.u.) = 1.70
- energy of formation from the pure elements (eV per formula unit) = 0.45

a = 3.1817 Å, b = 3.1817 Å, c = 5.3813 Å
α = 90.00°, β = 90.00°, γ = 90.00°
Space group P4/mmm (No. 123)
Unique sites:
Zn: 0.0000 0.0000 0.0000 (multiplicity 1)
Fe: 0.0000 0.0000 0.5000 (multiplicity 1)
P: 0.5000 0.5000 0.2907 (multiplicity 2)

=====

# 2
An optimized crystal structure of Y2CoTcHg. Source: Alexandria, functional PBE.

Output
- size of the total moment (μB/f.u.) = 1.86
- energy of formation from the pure elements (eV per formula unit) = 3.82

a = 5.1765 Å, b = 5.1765 Å, c = 5.2116 Å
α = 90.00°, β = 90.00°, γ = 90.00°
Space group P4/mmm (No. 123)
Unique sites:
Y: 0.0000 0.5000 0.0000 (multiplicity 2)
Co: 0.0000 0.0000 0.5000 (multiplicity 1)
Tc: 0.5000 0.5000 0.0000 (multiplicity 1)
Hg: 0.5000 0.5000 0.5000 (multiplicity 1)

=====

# 3
An optimized crystal structure of Lu2AgSb. Source: Alexandria, functional PBE.

Output
- formation energy without anion corrections (eV/atom) = -0.523
- size of the total moment (μB/f.u.) = 0.00

a = 3.7780 Å, b = 3.7780 Å, c = 6.8202 Å
α = 90.00°, β = 90.00°, γ = 90.00°
Space group P4/mmm (No. 123)
Unique sites:
Lu: 0.0000 0.0000 0.2496 (multiplicity 2)
Ag: 0.5000 0.5000 0.0000 (multiplicity 1)
Sb: 0.5000 0.5000 0.5000 (multiplicity 1)

=====

# 4
An optimized crystal structure of CdAs. Source: Alexandria, functional PBE.

Output
- polymorph energy (0 for the lowest one) (meV/atom) = 144
- size of the total moment (μB/f.u.) = 0.00
- energy of formation from the pure elements (eV per formula unit) = 0.13

a = 6.9060 Å, b = 6.9060 Å, c = 4.7964 Å
α = 90.00°, β = 90.00°, γ = 90.00°
Space group P4_2/mnm (No. 136)
Unique sites:
Cd: 0.2470 0.2470 0.0000 (multiplicity 4)
As: 0.1341 0.1341 0.5000 (multiplicity 4)

=====

# 5
An optimized crystal structure of Nd3AgPd4. Source: Alexandria, functional PBE.

Output
- size of the total moment (μB/f.u.) = 0.00
- energy of formation from the pure elements (eV per formula unit) = -4.64

a = 3.9749 Å, b = 6.7333 Å, c = 14.5585 Å
α = 90.00°, β = 90.00°, γ = 90.00°
Space group Immm (No. 71)
Unique sites:
Nd: 0.0000 0.0000 0.0000 (multiplicity 2)
Nd: 0.0000 0.5000 0.1837 (multiplicity 4)
Ag: 0.0000 0.0000 0.5000 (multiplicity 2)
Pd: 0.0000 0.3009 0.3716 (multiplicity 8)

=====

# 6
An optimized crystal structure of Nd3TmCd4. Source: Alexandria, functional PBE.

Output
- size of the total moment (μB/f.u.) = 1.47
- energy of formation from the pure elements (eV per formula unit) = -2.49

a = 3.7855 Å, b = 3.7855 Å, c = 15.5380 Å
α = 90.00°, β = 90.00°, γ = 90.00°
Space group P4/mmm (No. 123)
Unique sites:
Nd: 0.0000 0.0000 0.0000 (multiplicity 1)
Nd: 0.0000 0.0000 0.2561 (multiplicity 2)
Tm: 0.0000 0.0000 0.5000 (multiplicity 1)
Cd: 0.5000 0.5000 0.1270 (multiplicity 2)
Cd: 0.5000 0.5000 0.3875 (multiplicity 2)

=====

Number 1: total energy -20.10 eV per cell. Number 2: total energy -26.88 eV per cell. Number 3: total energy -18.11 eV per cell. Number 4: total energy -21.76 eV per cell. Number 5: total energy -85.13 eV per cell. Number 6: total energy -24.92 eV per cell.